Record 1
{"formula": "TbPmZnSb", "functional": "PBE", "state": "relaxed", "magmom_total_mub_per_cell": 0.00, "dos_ef_per_ev_atom": 0.697, "sg": "F-43m (216)", "formation_energy_uncorrected_ev_per_atom": -0.5540, "lattice": [[5.272, 0.000, 0.000], [2.636, 4.565, 0.000], [2.636, 1.522, 4.304]], "species": ["Pm", "Zn", "Tb", "Sb"], "fractional_positions": [[0.250, 0.250, 0.250], [0.000, 0.000, 0.000], [0.750, 0.750, 0.750], [0.500, 0.500, 0.500]]}



Record 2
{"formula": "PmTcSb2", "functional": "PBE", "state": "relaxed", "magmom_total_mub_per_cell": 0.00, "dos_ef_per_ev_atom": 0.569, "sg": "P4/mmm (123)", "formation_energy_uncorrected_ev_per_atom": -0.2857, "polymorph_energy_ev_per_atom": 0.0000, "lattice": [[-1.360, 2.870, -1.130], [-1.642, -1.719, -2.390], [-6.015, -0.953, 4.818]], "species": ["Pm", "Sb", "Sb", "Tc"], "fractional_positions": [[0.500, 0.500, 0.500], [0.000, 0.000, 0.206], [0.000, 0.000, 0.794], [0.500, 0.500, 0.000]]}



Record 3
{"formula": "PmTcSb2", "functional": "PBE", "state": "relaxed", "magmom_total_mub_per_cell": 0.00, "dos_ef_per_ev_atom": 0.373, "sg": "Fm-3m (225)", "formation_energy_uncorrected_ev_per_atom": -0.1694, "polymorph_energy_ev_per_atom": 0.1163, "lattice": [[5.024, 0.000, 0.000], [2.512, 4.351, 0.000], [2.512, 1.450, 4.102]], "species": ["Sb", "Tc", "Sb", "Pm"], "fractional_positions": [[0.250, 0.250, 0.250], [0.500, 0.500, 0.500], [0.750, 0.750, 0.750], [0.000, 0.000, 0.000]]}



Record 4
{"formula": "PmTcSb", "functional": "PBE", "state": "relaxed", "magmom_total_mub_per_cell": 0.00, "dos_ef_per_ev_atom": 1.013, "sg": "I4mm (107)", "formation_energy_uncorrected_ev_per_atom": -0.2417, "polymorph_energy_ev_per_atom": 0.0000, "lattice": [[3.438, 0.000, 0.000], [0.000, 3.438, 0.000], [-1.719, -1.719, 5.712]], "species": ["Tc", "Sb", "Pm"], "fractional_positions": [[0.646, 0.646, 0.291], [0.033, 0.033, 0.067], [0.321, 0.321, 0.642]]}



Record 5
{"formula": "PmTcSb", "functional": "PBE", "state": "relaxed", "magmom_total_mub_per_cell": 0.00, "dos_ef_per_ev_atom": 0.792, "sg": "P2_1/m (11)", "formation_energy_uncorrected_ev_per_atom": -0.1856, "polymorph_energy_ev_per_atom": 0.0561, "lattice": [[-1.121, -3.526, 1.856], [4.630, -3.831, -4.480], [5.878, 2.061, 7.462]], "species": ["Pm", "Tc", "Sb", "Pm", "Sb", "Sb", "Pm", "Pm", "Tc", "Sb", "Tc", "Tc"], "fractional_positions": [[0.750, 0.568, 0.146], [0.750, 0.782, 0.817], [0.750, 0.659, 0.474], [0.250, 0.932, 0.354], [0.750, 0.159, 0.974], [0.250, 0.341, 0.526], [0.250, 0.432, 0.854], [0.750, 0.068, 0.646], [0.250, 0.218, 0.183], [0.250, 0.841, 0.026], [0.250, 0.718, 0.683], [0.750, 0.282, 0.317]]}



Record 6
{"formula": "Pm2TcSb", "functional": "PBE", "state": "relaxed", "magmom_total_mub_per_cell": 0.00, "dos_ef_per_ev_atom": 0.806, "sg": "Fm-3m (225)", "formation_energy_uncorrected_ev_per_atom": -0.1866, "polymorph_energy_ev_per_atom": 0.0722, "lattice": [[-0.125, 2.018, 4.806], [-3.848, -1.295, 3.272], [0.995, -3.029, 4.126]], "species": ["Pm", "Sb", "Tc", "Pm"], "fractional_positions": [[0.750, 0.750, 0.750], [0.500, 0.500, 0.500], [0.000, 0.000, 0.000], [0.250, 0.250, 0.250]]}